Entry 1:
Entry from the Open Quantum Materials Database: a geometry-optimized LaThN2 structure (PBE-GGA).

Unit cell a=3.6850 b=3.6850 c=18.1382 alpha=90.00 beta=90.00 gamma=120.00
Space group R-3m (No. 166, hexagonal axes)
Asymmetric unit:
La 0.0000 0.0000 0.0000 x3
Th 0.0000 0.0000 0.5000 x3
N 0.0000 0.0000 0.2419 x6

Computed properties:
crystal system	trigonal
M_tot	0.001	μB per atom
calculated total energy	-8.757	eV/atom

Entry 2:
Entry from the Open Quantum Materials Database: a geometry-optimized LaUN3 structure (PBE-GGA).

Unit cell a=5.994 b=8.320 c=5.996 alpha=90.00 beta=90.00 gamma=90.00
Space group Pnma (No. 62)
Asymmetric unit:
La 0.034 0.250 0.009 x4
U 0.000 0.000 0.500 x4
N 0.026 0.750 0.401 x4
N 0.208 0.552 0.780 x8

Computed properties:
crystal system	orthorhombic
M_tot	0.000	μB per atom
calculated total energy	-9.699	eV/atom

Question: Among the records above, which one has the highest calculated total energy?
Answer: LaThN2

Question: Which of these has the lowest M_tot?
Answer: LaUN3

Question: calculated total energy of number 1 (LaThN2)?
Answer: -8.757 eV/atom

Question: Which formula does entry 2 have?
Answer: LaUN3